Entry from Alexandria: crystalline ErScAl2Pd2 at its relaxed geometry (PBE).

The structure in extended XYZ format:
```
6
Lattice="-3.0493 2.6631 1.9353 -1.1374 -4.1442 -1.2916 1.7023 -2.2818 5.8221" Properties=species:S:1:pos:R:3 pbc="T T T"
Er 0.0000 0.0000 0.0000
Al -0.5568 -3.5075 3.9491
Al -1.9275 -0.2554 2.5167
Pd -1.3064 -2.5028 1.3856
Pd -1.1780 -1.2601 5.0802
Sc 0.8512 -1.1409 2.9111
```

Summary:
theoretical density	7.04	Mg/m³
VASP energy	-33.70	eV per cell
space group	P-3m1
spin magnetization	0.00	μB/cell